#i
Hf2Sc2Sn | PBE-GGA | relaxed

POSCAR file:
```
Hf2Sc2Sn
1.0
-3.198 1.937 6.527
6.346 -1.764 3.633
1.383 3.953 -0.496
Sc Hf Sn
4 4 2
Direct
0.155 0.655 0.500
0.655 0.845 0.500
0.845 0.345 0.500
0.345 0.155 0.500
0.362 0.862 0.000
0.862 0.638 0.000
0.638 0.138 0.000
0.138 0.362 0.000
0.000 0.000 0.000
0.500 0.500 0.000
```

Output
- density of states at the Fermi level (states/eV/f.u.) = 4.54
- calculated volume (Å³/atom) = 23.86
- ρ (g/cm3) = 7.9

***

#ii
Hf2Sc2Sn | PBE-GGA | relaxed

POSCAR file:
```
Hf2Sc2Sn
1.0
4.071 0.000 0.000
0.000 4.071 0.000
2.035 2.035 7.259
Sc Hf Sn
2 2 1
Direct
0.750 0.250 0.500
0.250 0.750 0.500
0.411 0.411 0.178
0.589 0.589 0.822
0.000 0.000 0.000
```

Output
- density of states at the Fermi level (states/eV/f.u.) = 4.10
- calculated volume (Å³/atom) = 24.06
- ρ (g/cm3) = 7.8

***

Most stable = #i

***

#i
SrHfSc3 | PBE-GGA | relaxed

POSCAR file:
```
SrHfSc3
1.0
-1.393 3.151 3.774
-0.886 -4.020 3.028
4.836 0.171 1.642
Sc Sr Hf
3 1 1
Direct
0.000 0.500 0.000
0.000 0.000 0.500
0.500 0.000 0.000
0.000 0.000 0.000
0.500 0.500 0.500
```

Output
- density of states at the Fermi level (states/eV/f.u.) = 5.86
- calculated volume (Å³/atom) = 26.69
- ρ (g/cm3) = 5.0

***

#ii
SrHfSc3 | PBE-GGA | relaxed

POSCAR file:
```
SrHfSc3
1.0
-1.080 -4.606 -2.620
-1.151 -2.406 4.705
-5.173 1.497 -0.500
Sc Sr Hf
3 1 1
Direct
0.000 0.500 0.000
0.000 0.000 0.500
0.500 0.000 0.000
0.500 0.500 0.500
0.000 0.000 0.000
```

Output
- density of states at the Fermi level (states/eV/f.u.) = 7.54
- calculated volume (Å³/atom) = 31.64
- ρ (g/cm3) = 4.2

***

Most stable = #ii